# PBE+U FeNi2PO6, relaxed
# - E_tot: -57.551 eV per cell
# - Magnetic moment: 8.99 Bohr magnetons per cell
# - DOS(E_F): 0.0 states/eV/cell
data_FeNi2PO6
_cell_length_a 4.4928
_cell_length_b 5.0297
_cell_length_c 5.0297
_cell_angle_alpha 90.00
_cell_angle_beta 90.00
_cell_angle_gamma 90.00
_space_group_name_H-M_alt 'P 1'
_space_group_IT_number 1
_space_group_name_Hall 'P 1'
loop_
_atom_site_label
_atom_site_type_symbol
_atom_site_fract_x
_atom_site_fract_y
_atom_site_fract_z
Fe1 Fe 0.5724 0.5000 0.5000
Ni1 Ni 0.9493 0.5000 0.0000
Ni2 Ni 0.9493 0.0000 0.5000
P1 P 0.6103 0.0000 0.0000
O1 O 0.7299 0.2273 0.2273
O2 O 0.7299 0.2273 0.7727
O3 O 0.1754 0.5000 0.5000
O4 O 0.2704 0.0000 0.0000
O5 O 0.7299 0.7727 0.7727
O6 O 0.7299 0.7727 0.2273